Run a
Here is a geometry-optimized Y6HoTm3 structure from the Alexandria database. Energies are from GGA-PBE.

Structure (CIF):
```
data_Y6HoTm3
_chemical_formula_sum 'Y36 Ho6 Tm18'
_symmetry_space_group_name_H-M 'R -3 m'
_symmetry_Int_Tables_number 166
_symmetry_space_group_name_Hall '-R 3 2"'
_cell_length_a 11.3401
_cell_length_b 11.3401
_cell_length_c 17.8110
_cell_angle_alpha 90.00
_cell_angle_beta 90.00
_cell_angle_gamma 120.00
loop_
_atom_site_label
_atom_site_type_symbol
_atom_site_fract_x
_atom_site_fract_y
_atom_site_fract_z
Y1 Y 0.0736 0.5368 0.3252
Y2 Y 0.0969 0.1937 0.8605
Ho1 Ho 0.0000 0.0000 0.0000
Ho2 Ho 0.0000 0.0000 0.5000
Tm1 Tm 0.0171 0.5086 0.1152
```

**ρ**: 6.053 g/cm³

---

Run b
Here is a geometry-optimized Y6HoTm3 structure from the Alexandria database. Energies are from GGA-PBE.

Structure (CIF):
```
data_Y6HoTm3
_chemical_formula_sum 'Y24 Ho4 Tm12'
_symmetry_space_group_name_H-M 'C m c 21'
_symmetry_Int_Tables_number 36
_symmetry_space_group_name_Hall 'C 2c -2'
_cell_length_a 9.6229
_cell_length_b 20.8160
_cell_length_c 6.3603
_cell_angle_alpha 90.00
_cell_angle_beta 90.00
_cell_angle_gamma 90.00
loop_
_atom_site_label
_atom_site_type_symbol
_atom_site_fract_x
_atom_site_fract_y
_atom_site_fract_z
Y1 Y 0.0000 0.0153 0.0000
Y2 Y 0.0000 0.3003 0.0339
Y3 Y 0.1771 0.2811 0.4921
Y4 Y 0.1810 0.4406 0.2482
Ho1 Ho 0.0000 0.1609 0.8009
Tm1 Tm 0.0000 0.4181 0.7240
Tm2 Tm 0.1682 0.1263 0.3288
```

**ρ**: 6.283 g/cm³

---

run b is favored, and the nearest alternative lies 202 meV/atom above it.

---

Run a
Here is a geometry-optimized Y5HoTm5 structure from the Alexandria database. Energies are from GGA-PBE.

Structure (CIF):
```
data_Y5HoTm5
_chemical_formula_sum 'Y10 Ho2 Tm10'
_symmetry_space_group_name_H-M 'C 1 2/m 1'
_symmetry_Int_Tables_number 12
_symmetry_space_group_name_Hall '-C 2y'
_cell_length_a 18.7839
_cell_length_b 5.8723
_cell_length_c 6.9003
_cell_angle_alpha 90.00
_cell_angle_beta 111.51
_cell_angle_gamma 90.00
loop_
_atom_site_label
_atom_site_type_symbol
_atom_site_fract_x
_atom_site_fract_y
_atom_site_fract_z
Y1 Y 0.0000 0.0000 0.0000
Y2 Y 0.1790 0.5000 0.4251
Y3 Y 0.1790 0.5000 0.9332
Ho1 Ho 0.0000 0.5000 0.0000
Tm1 Tm 0.0000 0.5000 0.5000
Tm2 Tm 0.1224 0.0000 0.6226
Tm3 Tm 0.1680 0.0000 0.1682
```

**ρ**: 6.820 g/cm³

---

Run b
Here is a geometry-optimized Y5HoTm5 structure from the Alexandria database. Energies are from GGA-PBE.

Structure (CIF):
```
data_Y5HoTm5
_chemical_formula_sum 'Y5 Ho1 Tm5'
_symmetry_space_group_name_H-M 'P -1'
_symmetry_Int_Tables_number 2
_symmetry_space_group_name_Hall '-P 1'
_cell_length_a 6.8201
_cell_length_b 6.8219
_cell_length_c 8.4834
_cell_angle_alpha 75.13
_cell_angle_beta 75.25
_cell_angle_gamma 70.40
loop_
_atom_site_label
_atom_site_type_symbol
_atom_site_fract_x
_atom_site_fract_y
_atom_site_fract_z
Y1 Y 0.0000 0.0000 0.0000
Y2 Y 0.1475 0.1444 0.3625
Y3 Y 0.3167 0.3093 0.6373
Ho1 Ho 0.0000 0.5000 0.0000
Tm1 Tm 0.2256 0.6478 0.2773
Tm2 Tm 0.3518 0.7693 0.7261
Tm3 Tm 0.5000 0.0000 0.0000
```

**ρ**: 6.837 g/cm³

---

run b is favored, and the nearest alternative lies 134 meV/atom above it.

---

Run a
Here is a geometry-optimized Y4HoTm2 structure from the Alexandria database. Energies are from GGA-PBE.

Structure (CIF):
```
data_Y4HoTm2
_chemical_formula_sum 'Y8 Ho2 Tm4'
_symmetry_space_group_name_H-M 'C 1 2/m 1'
_symmetry_Int_Tables_number 12
_symmetry_space_group_name_Hall '-C 2y'
_cell_length_a 16.6315
_cell_length_b 3.5343
_cell_length_c 8.6810
_cell_angle_alpha 90.00
_cell_angle_beta 119.56
_cell_angle_gamma 90.00
loop_
_atom_site_label
_atom_site_type_symbol
_atom_site_fract_x
_atom_site_fract_y
_atom_site_fract_z
Y1 Y 0.1390 0.0000 0.3311
Y2 Y 0.2038 0.0000 0.7935
Ho1 Ho 0.0000 0.5000 0.5000
Tm1 Tm 0.0701 0.5000 0.9296
```

**ρ**: 6.423 g/cm³

---

Run b
Here is a geometry-optimized Y4HoTm2 structure from the Alexandria database. Energies are from GGA-PBE.

Structure (CIF):
```
data_Y4HoTm2
_chemical_formula_sum 'Y16 Ho4 Tm8'
_symmetry_space_group_name_H-M 'I m m a'
_symmetry_Int_Tables_number 74
_symmetry_space_group_name_Hall '-I 2b 2'
_cell_length_a 6.7251
_cell_length_b 11.3750
_cell_length_c 11.9527
_cell_angle_alpha 90.00
_cell_angle_beta 90.00
_cell_angle_gamma 90.00
loop_
_atom_site_label
_atom_site_type_symbol
_atom_site_fract_x
_atom_site_fract_y
_atom_site_fract_z
Y1 Y 0.0000 0.0069 0.1478
Y2 Y 0.2248 0.2500 0.9881
Ho1 Ho 0.2500 0.2500 0.2500
Tm1 Tm 0.0000 0.0000 0.5000
Tm2 Tm 0.0000 0.2500 0.7229
```

**ρ**: 6.236 g/cm³

---

run a is favored, and the nearest alternative lies 253 meV/atom above it.

---

Run a
Here is a geometry-optimized Y2HoTm structure from the Alexandria database. Energies are from GGA-PBE.

Structure (CIF):
```
data_Y2HoTm
_chemical_formula_sum 'Y8 Ho4 Tm4'
_symmetry_space_group_name_H-M 'F m -3 m'
_symmetry_Int_Tables_number 225
_symmetry_space_group_name_Hall '-F 4 2 3'
_cell_length_a 7.9978
_cell_length_b 7.9978
_cell_length_c 7.9978
_cell_angle_alpha 90.00
_cell_angle_beta 90.00
_cell_angle_gamma 90.00
loop_
_atom_site_label
_atom_site_type_symbol
_atom_site_fract_x
_atom_site_fract_y
_atom_site_fract_z
Y1 Y 0.2500 0.2500 0.2500
Ho1 Ho 0.0000 0.0000 0.0000
Tm1 Tm 0.0000 0.0000 0.5000
```

**ρ**: 6.643 g/cm³

---

Run b
Here is a geometry-optimized Y2HoTm structure from the Alexandria database. Energies are from GGA-PBE.

Structure (CIF):
```
data_Y2HoTm
_chemical_formula_sum 'Y2 Ho1 Tm1'
_symmetry_space_group_name_H-M 'P m m 2'
_symmetry_Int_Tables_number 25
_symmetry_space_group_name_Hall 'P 2 -2'
_cell_length_a 3.5316
_cell_length_b 5.0038
_cell_length_c 7.0840
_cell_angle_alpha 90.00
_cell_angle_beta 90.00
_cell_angle_gamma 90.00
loop_
_atom_site_label
_atom_site_type_symbol
_atom_site_fract_x
_atom_site_fract_y
_atom_site_fract_z
Y1 Y 0.0000 0.0000 0.0000
Y2 Y 0.5000 0.5000 0.2536
Ho1 Ho 0.0000 0.0000 0.5041
Tm1 Tm 0.5000 0.5000 0.7507
```

**ρ**: 6.787 g/cm³

---

run b is favored, and the nearest alternative lies 112 meV/atom above it.